Run A
DFT (PBE) results for Ru2Pt5Rh4 after structural relaxation.

Output
N(E_F): 1.498 states/eV per atom
Magnetic moment: 0.0 μB per formula unit

Lattice parameters (Å, degrees): 9.400 5.385 8.043 90.00 122.07 90.00
Space group C2/m (No. 12)
Asymmetric unit:
1 Ru 0.017 0.000 0.351
2 Pt 0.000 0.500 0.000
3 Pt 0.248 0.247 0.315
4 Rh 0.013 0.500 0.343
5 Rh 0.208 0.000 0.992

Run B
DFT (PBE) results for Ru2Pt5Rh4 after structural relaxation.

Output
N(E_F): 1.432 states/eV per atom
Magnetic moment: 0.0 μB per formula unit

Lattice parameters (Å, degrees): 3.917 8.029 11.511 90.00 90.00 90.00
Space group Immm (No. 71)
Asymmetric unit:
1 Ru 0.000 0.000 0.161
2 Pt 0.000 0.341 0.215
3 Pt 0.000 0.500 0.500
4 Rh 0.000 0.000 0.395
5 Rh 0.000 0.239 0.000

Quick one: most stable of them? run A

Run A
DFT (PBE) results for Ru2Pt3Rh3 after structural relaxation.

Output
N(E_F): 0.970 states/eV per atom
Magnetic moment: 0.0 μB per formula unit

Lattice parameters (Å, degrees): 3.867 3.867 15.646 90.00 90.00 90.00
Space group Immm (No. 71)
Asymmetric unit:
1 Ru 0.000 0.000 0.250
2 Pt 0.000 0.000 0.000
3 Pt 0.000 0.500 0.129
4 Rh 0.000 0.000 0.500
5 Rh 0.000 0.500 0.370

Run B
DFT (PBE) results for Ru2Pt3Rh3 after structural relaxation.

Output
N(E_F): 1.406 states/eV per atom
Magnetic moment: 0.0 μB per formula unit

Lattice parameters (Å, degrees): 6.9199 6.9199 8.8272 90.00 90.00 120.00
Space group R32 (No. 155, hexagonal axes)
Asymmetric unit:
1 Ru 0.0000 0.0000 0.2460
2 Pt 0.0000 0.2315 0.5000
3 Rh 0.0000 0.7738 0.0000

Quick one: most stable of them? run A

Run A
DFT (PBE) results for RuPt3Rh after structural relaxation.

Output
N(E_F): 1.401 states/eV per atom
Magnetic moment: 0.0 μB per formula unit

Lattice parameters (Å, degrees): 3.951 14.191 5.474 90.00 90.00 90.00
Space group Cmcm (No. 63)
Asymmetric unit:
1 Ru 0.000 0.002 0.250
2 Pt 0.000 0.192 0.750
3 Pt 0.000 0.402 0.501
4 Rh 0.000 0.190 0.250

Run B
DFT (PBE) results for RuPt3Rh after structural relaxation.

Output
N(E_F): 1.452 states/eV per atom
Magnetic moment: 0.0 μB per formula unit

Lattice parameters (Å, degrees): 7.094 7.301 6.852 90.00 118.86 90.00
Space group P2_1/c (No. 14)
Asymmetric unit:
1 Ru 0.249 0.148 0.180
2 Pt 0.077 0.036 0.748
3 Pt 0.158 0.707 0.591
4 Pt 0.362 0.021 0.586
5 Rh 0.470 0.674 0.480

Run C
DFT (PBE) results for RuPt3Rh after structural relaxation.

Output
N(E_F): 1.680 states/eV per atom
Magnetic moment: 0.0 μB per formula unit

Lattice parameters (Å, degrees): 4.722 4.722 4.722 90.00 90.00 90.00
Space group Pm-3m (No. 221)
Asymmetric unit:
1 Ru 0.000 0.000 0.000
2 Pt 0.000 0.000 0.500
3 Rh 0.500 0.500 0.500

Quick one: most stable of them? run A

Run A
DFT (PBE) results for PtRh2S2 after structural relaxation.

Output
N(E_F): 0.466 states/eV per atom
Magnetic moment: 0.0 μB per formula unit

Lattice parameters (Å, degrees): 6.794 6.794 3.155 90.00 90.00 90.00
Space group P4/mbm (No. 127)
Asymmetric unit:
1 Pt 0.000 0.000 0.000
2 Rh 0.152 0.348 0.500
3 S 0.159 0.659 0.000

Run B
DFT (PBE) results for PtRh2S2 after structural relaxation.

Output
N(E_F): 0.958 states/eV per atom
Magnetic moment: 0.0 μB per formula unit

Lattice parameters (Å, degrees): 4.687 4.687 7.285 90.00 90.00 90.00
Space group I4/mmm (No. 139)
Asymmetric unit:
1 Pt 0.000 0.000 0.000
2 Rh 0.000 0.500 0.250
3 S 0.000 0.000 0.315

Quick one: most stable of them? run B